The following is a DFT calculation (GGA+U) of a relaxed TbCrClO4 crystal.

Unit cell a=6.178 b=6.178 c=6.689 alpha=77.67 beta=77.67 gamma=71.57
Positions (direct):
Tb: 0.224 0.224 0.886
Tb: 0.776 0.776 0.114
Cr: 0.639 0.639 0.731
Cr: 0.361 0.361 0.269
Cl: 0.014 0.014 0.238
Cl: 0.986 0.986 0.762
O: 0.286 0.286 0.518
O: 0.714 0.714 0.482
O: 0.127 0.491 0.147
O: 0.529 0.529 0.229
O: 0.509 0.873 0.853
O: 0.491 0.127 0.147
O: 0.471 0.471 0.771
O: 0.873 0.509 0.853

Summary:
Its space group is C2/m, No. 12. As for the volume: 233.7 Å³/cell. For the total energy, the calculation gives -95.955 eV for the cell shown.